No. 1
Below is an optimized crystal structure of Ba4PtAuI2, with properties calculated at the GGA-PBE level.

Output
total magnetic moment = 0.00 μB/atom
raw formation energy = -1110 meV per atom
symmetry = P2/m, No. 10

Unit cell a=8.1272 b=4.6885 c=9.1884 alpha=90.00 beta=107.09 gamma=90.00
Closest atoms and distances in Å follow each position.
Sites, in units of the cell vectors:
Ba 0.2241 0.0000 0.2015  2 Pt 3.20, 1 Au 3.30
Ba 0.2546 0.5000 0.7945  1 Pt 3.18, 2 Au 3.29
Ba 0.7454 0.5000 0.2055  1 Pt 3.18, 2 Au 3.29
Ba 0.7759 0.0000 0.7985  2 Pt 3.20, 1 Au 3.30
Pt 0.0000 0.5000 0.0000  6 Ba 3.18-3.20
Au 0.5000 0.0000 0.0000  6 Ba 3.29-3.30
I 0.0000 0.0000 0.5000  6 Ba 3.71-3.72
I 0.5000 0.5000 0.5000  6 Ba 3.80


No. 2
Below is an optimized crystal structure of MnZnFeBi2, with properties calculated at the GGA-PBE level.

Output
total magnetic moment = 1.20 μB/atom
symmetry = P4/mmm, No. 123
E_form = 628 meV per atom

Unit cell a=5.0668 b=5.0668 c=4.8008 alpha=90.00 beta=90.00 gamma=90.00
Closest atoms and distances in Å follow each position.
Sites, in units of the cell vectors:
Mn 0.0000 0.0000 0.0000  2 Fe 2.40
Zn 0.5000 0.5000 0.0000  8 Bi 3.49, 4 Mn 3.58
Fe 0.0000 0.0000 0.5000  2 Mn 2.40, 4 Bi 2.53
Bi 0.0000 0.5000 0.5000  2 Fe 2.53
Bi 0.5000 0.0000 0.5000  2 Fe 2.53


No. 3
Below is an optimized crystal structure of YBeSbI2, with properties calculated at the GGA-PBE level.

Output
polymorph energy (0 for the lowest one) = 241 meV/atom
total magnetic moment = 0.00 μB/atom
raw formation energy = 233 meV per atom
symmetry = P4/mmm, No. 123

Unit cell a=5.9123 b=5.9123 c=6.1248 alpha=90.00 beta=90.00 gamma=90.00
Closest atoms and distances in Å follow each position.
Sites, in units of the cell vectors:
Y 0.0000 0.0000 0.0000  4 I 2.96, 2 Sb 3.06
Be 0.5000 0.5000 0.5000  4 Sb 4.18, 8 I 4.26
Sb 0.0000 0.0000 0.5000  2 Y 3.06
I 0.0000 0.5000 0.0000  2 Y 2.96
I 0.5000 0.0000 0.0000  2 Y 2.96


No. 4
Below is an optimized crystal structure of ScZnIn, with properties calculated at the GGA-PBE level.

Output
total magnetic moment = 0.00 μB/atom
symmetry = Amm2, No. 38
E_form = -312 meV per atom

Unit cell a=4.3252 b=4.2360 c=13.2851 alpha=90.00 beta=90.00 gamma=90.00
Closest atoms and distances in Å follow each position.
Sites, in units of the cell vectors:
Sc 0.0000 0.0000 0.0000  6 Zn 2.90-3.03, 4 In 2.99-3.09, 2 Sc 3.23
Sc 0.0000 0.0000 0.3160  6 In 3.04, 4 Zn 3.06-3.16, 2 Sc 3.23
Sc 0.0000 0.5000 0.5000  6 Zn 2.90-3.03, 4 In 2.99-3.09, 2 Sc 3.23
Sc 0.0000 0.5000 0.8160  6 In 3.04, 4 Zn 3.06-3.16, 2 Sc 3.23
Zn 0.0000 0.0000 0.6493  4 Sc 2.90-3.06, 4 In 3.03, 2 Zn 3.03
Zn 0.0000 0.5000 0.1493  4 Sc 2.90-3.06, 4 In 3.03, 2 Zn 3.03
Zn 0.5000 0.0000 0.4896  4 In 2.96-3.05, 2 Zn 3.03, 6 Sc 3.03-3.16
Zn 0.5000 0.5000 0.9896  4 In 2.96-3.05, 2 Zn 3.03, 6 Sc 3.03-3.16
In 0.5000 0.0000 0.1550  4 Sc 2.99-3.04, 6 Zn 3.03-3.05, 2 In 3.18
In 0.5000 0.0000 0.8337  4 Zn 2.96-3.27, 6 Sc 3.04-3.09, 2 In 3.18
In 0.5000 0.5000 0.3337  4 Zn 2.96-3.27, 6 Sc 3.04-3.09, 2 In 3.18
In 0.5000 0.5000 0.6550  4 Sc 2.99-3.04, 6 Zn 3.03-3.05, 2 In 3.18